Entry 1
KTlIr | PBE | relaxed

## Properties
Total magnetic moment   1.063 μB/f.u.
ρ   7.6 Mg/m³
D(E_F)   3.441 states/eV/atom

Structure (CIF):
```
data_KTlIr
_chemical_formula_sum 'K1 Tl1 Ir1'
_symmetry_space_group_name_H-M 'P 1'
_symmetry_Int_Tables_number 1
_cell_length_a 5.1347
_cell_length_b 5.1347
_cell_length_c 5.1347
_cell_angle_alpha 60.00
_cell_angle_beta 60.00
_cell_angle_gamma 60.00
loop_
_symmetry_equiv_pos_as_xyz
'x,y,z'
loop_
_atom_site_label
_atom_site_fract_x
_atom_site_fract_y
_atom_site_fract_z
_atom_site_occupancy
K1 0.7500 0.7500 0.7500 1
Ir1 0.5000 0.5000 0.5000 1
Tl1 0.0000 0.0000 0.0000 1
```



Entry 2
KTlIr | PBE | relaxed

## Properties
Total magnetic moment   0.003 μB/f.u.
ρ   10.4 Mg/m³
D(E_F)   0.699 states/eV/atom

Structure (CIF):
```
data_KTlIr
_chemical_formula_sum 'K1 Tl1 Ir1'
_symmetry_space_group_name_H-M 'P 1'
_symmetry_Int_Tables_number 1
_cell_length_a 5.2212
_cell_length_b 5.2212
_cell_length_c 2.9431
_cell_angle_alpha 90.00
_cell_angle_beta 90.00
_cell_angle_gamma 120.00
loop_
_symmetry_equiv_pos_as_xyz
'x,y,z'
loop_
_atom_site_label
_atom_site_fract_x
_atom_site_fract_y
_atom_site_fract_z
_atom_site_occupancy
Ir1 0.0000 0.0000 0.8335 1
Tl1 0.3333 0.6667 0.8327 1
K1 0.6667 0.3333 0.3338 1
```



Name the least stable of them. entry 1.



Entry 1
KTlIr | PBE | relaxed

## Properties
Total magnetic moment   0.000 μB/f.u.
ρ   10.3 Mg/m³
D(E_F)   0.543 states/eV/atom

Structure (CIF):
```
data_KTlIr
_chemical_formula_sum 'K1 Tl1 Ir1'
_symmetry_space_group_name_H-M 'P 1'
_symmetry_Int_Tables_number 1
_cell_length_a 3.2021
_cell_length_b 3.2021
_cell_length_c 7.9125
_cell_angle_alpha 90.00
_cell_angle_beta 90.00
_cell_angle_gamma 120.00
loop_
_symmetry_equiv_pos_as_xyz
'x,y,z'
loop_
_atom_site_label
_atom_site_fract_x
_atom_site_fract_y
_atom_site_fract_z
_atom_site_occupancy
Tl1 0.3333 0.6667 0.7058 1
K1 0.6667 0.3333 0.3124 1
Ir1 0.0000 0.0000 0.9818 1
```



Entry 2
KTlIr | PBE | relaxed

## Properties
Total magnetic moment   0.000 μB/f.u.
ρ   8.3 Mg/m³
D(E_F)   0.610 states/eV/atom

Structure (CIF):
```
data_KTlIr
_chemical_formula_sum 'K1 Tl1 Ir1'
_symmetry_space_group_name_H-M 'P 1'
_symmetry_Int_Tables_number 1
_cell_length_a 6.6465
_cell_length_b 6.6465
_cell_length_c 6.6465
_cell_angle_alpha 146.92
_cell_angle_beta 146.92
_cell_angle_gamma 47.47
loop_
_symmetry_equiv_pos_as_xyz
'x,y,z'
loop_
_atom_site_label
_atom_site_fract_x
_atom_site_fract_y
_atom_site_fract_z
_atom_site_occupancy
K1 0.3335 0.3335 0.0000 1
Ir1 0.0671 0.0671 0.0000 1
Tl1 0.5994 0.5994 0.0000 1
```



Name the least stable of them. entry 1.



Entry 1
KTl3Ir | PBE | relaxed

## Properties
Total magnetic moment   0.000 μB/f.u.
ρ   9.1 Mg/m³
D(E_F)   0.565 states/eV/atom

Structure (CIF):
```
data_KTl3Ir
_chemical_formula_sum 'K1 Tl3 Ir1'
_symmetry_space_group_name_H-M 'P 1'
_symmetry_Int_Tables_number 1
_cell_length_a 5.3708
_cell_length_b 5.3708
_cell_length_c 5.3708
_cell_angle_alpha 90.00
_cell_angle_beta 90.00
_cell_angle_gamma 90.00
loop_
_symmetry_equiv_pos_as_xyz
'x,y,z'
loop_
_atom_site_label
_atom_site_fract_x
_atom_site_fract_y
_atom_site_fract_z
_atom_site_occupancy
Tl1 0.0000 0.0000 0.5000 1
Ir1 0.0000 0.0000 0.0000 1
Tl2 0.5000 0.0000 0.0000 1
Tl3 0.0000 0.5000 0.0000 1
K1 0.5000 0.5000 0.5000 1
```



Entry 2
KTl3Ir | PBE | relaxed

## Properties
Total magnetic moment   0.001 μB/f.u.
ρ   7.2 Mg/m³
D(E_F)   1.045 states/eV/atom

Structure (CIF):
```
data_KTl3Ir
_chemical_formula_sum 'K1 Tl3 Ir1'
_symmetry_space_group_name_H-M 'P 1'
_symmetry_Int_Tables_number 1
_cell_length_a 5.7859
_cell_length_b 5.7859
_cell_length_c 5.7859
_cell_angle_alpha 90.00
_cell_angle_beta 90.00
_cell_angle_gamma 90.00
loop_
_symmetry_equiv_pos_as_xyz
'x,y,z'
loop_
_atom_site_label
_atom_site_fract_x
_atom_site_fract_y
_atom_site_fract_z
_atom_site_occupancy
Ir1 0.5000 0.5000 0.5000 1
Tl1 0.0000 0.0000 0.5000 1
K1 0.0000 0.0000 0.0000 1
Tl2 0.0000 0.5000 0.0000 1
Tl3 0.5000 0.0000 0.0000 1
```



Name the least stable of them. entry 2.



Entry 1
KTl2ZnIr | PBE | relaxed

## Properties
Total magnetic moment   0.000 μB/f.u.
ρ   6.8 Mg/m³
D(E_F)   0.427 states/eV/atom

Structure (CIF):
```
data_KTl2ZnIr
_chemical_formula_sum 'K1 Tl2 Zn1 Ir1'
_symmetry_space_group_name_H-M 'P 1'
_symmetry_Int_Tables_number 1
_cell_length_a 5.2971
_cell_length_b 6.1682
_cell_length_c 5.2971
_cell_angle_alpha 90.00
_cell_angle_beta 90.00
_cell_angle_gamma 90.00
loop_
_symmetry_equiv_pos_as_xyz
'x,y,z'
loop_
_atom_site_label
_atom_site_fract_x
_atom_site_fract_y
_atom_site_fract_z
_atom_site_occupancy
Zn1 0.5000 0.5000 0.5000 1
Tl1 0.0000 0.0000 0.5000 1
K1 0.0000 0.5000 0.0000 1
Ir1 0.0000 0.0000 0.0000 1
Tl2 0.5000 0.0000 0.0000 1
```



Entry 2
KTl2ZnIr | PBE | relaxed

## Properties
Total magnetic moment   0.000 μB/f.u.
ρ   8.2 Mg/m³
D(E_F)   0.344 states/eV/atom

Structure (CIF):
```
data_KTl2ZnIr
_chemical_formula_sum 'K1 Tl2 Zn1 Ir1'
_symmetry_space_group_name_H-M 'P 1'
_symmetry_Int_Tables_number 1
_cell_length_a 5.3061
_cell_length_b 5.3061
_cell_length_c 5.0471
_cell_angle_alpha 90.00
_cell_angle_beta 90.00
_cell_angle_gamma 90.00
loop_
_symmetry_equiv_pos_as_xyz
'x,y,z'
loop_
_atom_site_label
_atom_site_fract_x
_atom_site_fract_y
_atom_site_fract_z
_atom_site_occupancy
Tl1 0.5000 0.0000 0.0000 1
Tl2 0.0000 0.5000 0.0000 1
Zn1 0.0000 0.0000 0.5000 1
K1 0.5000 0.5000 0.5000 1
Ir1 0.0000 0.0000 0.0000 1
```



Name the least stable of them. entry 1.



Entry 1
KTlZn2Ir | PBE | relaxed

## Properties
Total magnetic moment   0.601 μB/f.u.
ρ   6.3 Mg/m³
D(E_F)   1.168 states/eV/atom

Structure (CIF):
```
data_KTlZn2Ir
_chemical_formula_sum 'K1 Tl1 Zn2 Ir1'
_symmetry_space_group_name_H-M 'P 1'
_symmetry_Int_Tables_number 1
_cell_length_a 5.3403
_cell_length_b 5.2554
_cell_length_c 5.3403
_cell_angle_alpha 90.00
_cell_angle_beta 90.00
_cell_angle_gamma 90.00
loop_
_symmetry_equiv_pos_as_xyz
'x,y,z'
loop_
_atom_site_label
_atom_site_fract_x
_atom_site_fract_y
_atom_site_fract_z
_atom_site_occupancy
Ir1 0.0000 0.5000 0.0000 1
Tl1 0.0000 0.0000 0.0000 1
K1 0.5000 0.5000 0.5000 1
Zn1 0.5000 0.0000 0.0000 1
Zn2 0.0000 0.0000 0.5000 1
```



Entry 2
KTlZn2Ir | PBE | relaxed

## Properties
Total magnetic moment   0.000 μB/f.u.
ρ   7.2 Mg/m³
D(E_F)   0.282 states/eV/atom

Structure (CIF):
```
data_KTlZn2Ir
_chemical_formula_sum 'K1 Tl1 Zn2 Ir1'
_symmetry_space_group_name_H-M 'P 1'
_symmetry_Int_Tables_number 1
_cell_length_a 4.9830
_cell_length_b 4.9830
_cell_length_c 5.2451
_cell_angle_alpha 90.00
_cell_angle_beta 90.00
_cell_angle_gamma 90.00
loop_
_symmetry_equiv_pos_as_xyz
'x,y,z'
loop_
_atom_site_label
_atom_site_fract_x
_atom_site_fract_y
_atom_site_fract_z
_atom_site_occupancy
Ir1 0.0000 0.0000 0.0000 1
Tl1 0.0000 0.0000 0.5000 1
Zn1 0.5000 0.0000 0.0000 1
Zn2 0.0000 0.5000 0.0000 1
K1 0.5000 0.5000 0.5000 1
```



Name the least stable of them. entry 1.



Entry 1
K2VIr | PBE | relaxed

## Properties
Total magnetic moment   3.963 μB/f.u.
ρ   5.0 Mg/m³
D(E_F)   2.138 states/eV/atom

Structure (CIF):
```
data_K2VIr
_chemical_formula_sum 'K2 V1 Ir1'
_symmetry_space_group_name_H-M 'P 1'
_symmetry_Int_Tables_number 1
_cell_length_a 5.3276
_cell_length_b 5.3276
_cell_length_c 5.3276
_cell_angle_alpha 60.00
_cell_angle_beta 60.00
_cell_angle_gamma 60.00
loop_
_symmetry_equiv_pos_as_xyz
'x,y,z'
loop_
_atom_site_label
_atom_site_fract_x
_atom_site_fract_y
_atom_site_fract_z
_atom_site_occupancy
Ir1 0.5000 0.5000 0.5000 1
K1 0.7500 0.7500 0.7500 1
K2 0.2500 0.2500 0.2500 1
V1 0.0000 0.0000 0.0000 1
```



Entry 2
K2VIr | PBE | relaxed

## Properties
Total magnetic moment   3.174 μB/f.u.
ρ   3.0 Mg/m³
D(E_F)   1.676 states/eV/atom

Structure (CIF):
```
data_K2VIr
_chemical_formula_sum 'K4 V2 Ir2'
_symmetry_space_group_name_H-M 'P 1'
_symmetry_Int_Tables_number 1
_cell_length_a 12.3042
_cell_length_b 12.3042
_cell_length_c 9.0069
_cell_angle_alpha 46.92
_cell_angle_beta 46.92
_cell_angle_gamma 90.00
loop_
_symmetry_equiv_pos_as_xyz
'x,y,z'
loop_
_atom_site_label
_atom_site_fract_x
_atom_site_fract_y
_atom_site_fract_z
_atom_site_occupancy
K1 0.3750 0.1988 0.7500 1
Ir1 0.0000 0.0000 0.0000 1
K2 0.8750 0.0512 0.7500 1
K3 0.8012 0.1250 0.2500 1
V1 0.5000 0.5000 0.0000 1
K4 0.9488 0.6250 0.2500 1
V2 0.2500 0.7500 0.5000 1
Ir2 0.7500 0.2500 0.5000 1
```



Name the least stable of them. entry 1.